No. 1
The following is a DFT calculation (PBE) of crystalline NaCaErGa at its relaxed geometry.

Spin magnetization = 0.000 μB per formula unit
Formation enthalpy at 0 K = -0.109 eV/atom

a = 7.497 Å, b = 7.497 Å, c = 7.497 Å
α = 90.00°, β = 90.00°, γ = 90.00°
Positions (direct):
Na  0.000  0.000  0.000
Na  0.000  0.500  0.500
Na  0.500  0.000  0.500
Na  0.500  0.500  0.000
Ca  0.250  0.250  0.250
Ca  0.250  0.750  0.750
Ca  0.750  0.250  0.750
Ca  0.750  0.750  0.250
Er  0.250  0.250  0.750
Er  0.250  0.750  0.250
Er  0.750  0.250  0.250
Er  0.750  0.750  0.750
Ga  0.000  0.000  0.500
Ga  0.000  0.500  0.000
Ga  0.500  0.000  0.000
Ga  0.500  0.500  0.500

No. 2
The following is a DFT calculation (PBE) of crystalline CaErGaNi at its relaxed geometry.

Spin magnetization = 0.000 μB per formula unit
Formation enthalpy at 0 K = -0.315 eV/atom

a = 6.982 Å, b = 6.982 Å, c = 6.982 Å
α = 90.00°, β = 90.00°, γ = 90.00°
Positions (direct):
Ca  0.000  0.000  0.000
Ca  0.000  0.500  0.500
Ca  0.500  0.000  0.500
Ca  0.500  0.500  0.000
Er  0.000  0.000  0.500
Er  0.000  0.500  0.000
Er  0.500  0.000  0.000
Er  0.500  0.500  0.500
Ga  0.250  0.250  0.250
Ga  0.250  0.750  0.750
Ga  0.750  0.250  0.750
Ga  0.750  0.750  0.250
Ni  0.250  0.250  0.750
Ni  0.250  0.750  0.250
Ni  0.750  0.250  0.250
Ni  0.750  0.750  0.750

No. 3
The following is a DFT calculation (PBE) of crystalline CaErGa2Pd2 at its relaxed geometry.

Spin magnetization = 0.000 μB per formula unit
Formation enthalpy at 0 K = -0.792 eV/atom

a = 4.459 Å, b = 4.459 Å, c = 7.258 Å
α = 90.00°, β = 90.00°, γ = 120.00°
Positions (direct):
Ca  0.000  0.000  0.000
Er  0.000  0.000  0.500
Ga  0.333  0.667  0.730
Ga  0.667  0.333  0.270
Pd  0.333  0.667  0.281
Pd  0.667  0.333  0.719

No. 4
The following is a DFT calculation (PBE) of crystalline CaErGaS4 at its relaxed geometry.

Spin magnetization = 0.000 μB per formula unit
ΔE_f (raw) = -1.5187 eV per atom

a = 7.754 Å, b = 7.754 Å, c = 7.754 Å
α = 120.93°, β = 119.16°, γ = 89.93°
Positions (direct):
Ca  0.500  0.000  0.000
Ca  0.500  0.500  0.500
Er  0.000  0.000  0.000
Er  0.500  0.000  0.500
Ga  0.116  0.366  0.750
Ga  0.884  0.634  0.250
S  0.240  0.247  0.993
S  0.245  0.244  0.499
S  0.245  0.746  0.001
S  0.246  0.753  0.493
S  0.754  0.247  0.507
S  0.755  0.254  0.999
S  0.755  0.756  0.501
S  0.760  0.753  0.007

No. 5
The following is a DFT calculation (PBE) of crystalline CaErGaSi at its relaxed geometry.

Spin magnetization = 0.000 μB per formula unit
ΔE_f (raw) = -0.5930 eV per atom

a = 3.984 Å, b = 4.350 Å, c = 10.810 Å
α = 90.00°, β = 90.00°, γ = 90.00°
Positions (direct):
Ca  0.000  0.000  0.000
Ca  0.000  0.500  0.500
Er  0.500  0.000  0.279
Er  0.500  0.500  0.779
Ga  0.500  0.000  0.571
Ga  0.500  0.500  0.071
Si  0.000  0.000  0.719
Si  0.000  0.500  0.219

No. 6
The following is a DFT calculation (PBE) of crystalline CaErGaSn at its relaxed geometry.

Spin magnetization = 0.000 μB per formula unit
Formation enthalpy at 0 K = -0.502 eV/atom

a = 7.411 Å, b = 7.411 Å, c = 7.411 Å
α = 90.00°, β = 90.00°, γ = 90.00°
Positions (direct):
Ca  0.000  0.000  0.000
Ca  0.000  0.500  0.500
Ca  0.500  0.000  0.500
Ca  0.500  0.500  0.000
Er  0.000  0.000  0.500
Er  0.000  0.500  0.000
Er  0.500  0.000  0.000
Er  0.500  0.500  0.500
Ga  0.250  0.250  0.750
Ga  0.250  0.750  0.250
Ga  0.750  0.250  0.250
Ga  0.750  0.750  0.750
Sn  0.250  0.250  0.250
Sn  0.250  0.750  0.750
Sn  0.750  0.250  0.750
Sn  0.750  0.750  0.250

No. 7
The following is a DFT calculation (PBE) of crystalline CaErTlGa at its relaxed geometry.

Spin magnetization = 0.000 μB per formula unit
Formation enthalpy at 0 K = -0.394 eV/atom

a = 7.442 Å, b = 7.442 Å, c = 7.442 Å
α = 90.00°, β = 90.00°, γ = 90.00°
Positions (direct):
Ca  0.000  0.000  0.000
Ca  0.000  0.500  0.500
Ca  0.500  0.000  0.500
Ca  0.500  0.500  0.000
Er  0.000  0.000  0.500
Er  0.000  0.500  0.000
Er  0.500  0.000  0.000
Er  0.500  0.500  0.500
Tl  0.250  0.250  0.750
Tl  0.250  0.750  0.250
Tl  0.750  0.250  0.250
Tl  0.750  0.750  0.750
Ga  0.250  0.250  0.250
Ga  0.250  0.750  0.750
Ga  0.750  0.250  0.750
Ga  0.750  0.750  0.250

No. 8
The following is a DFT calculation (PBE) of crystalline CaErTlGa at its relaxed geometry.

Spin magnetization = 0.000 μB per formula unit
Formation enthalpy at 0 K = -0.446 eV/atom

a = 3.701 Å, b = 3.701 Å, c = 7.502 Å
α = 90.00°, β = 90.00°, γ = 90.00°
Positions (direct):
Ca  0.000  0.000  0.000
Er  0.000  0.000  0.534
Tl  0.500  0.500  0.273
Ga  0.500  0.500  0.753

Q: What is the spin magnetization in the seventh record?
A: 0.000 μB per formula unit